1.
AlGa3Au (PBE-GGA, relaxed); space group = Pm-3m, No. 221; energy above the most stable polymorph in this dataset = 0.000 eV/f.u.; density = 5.8 g/cm3
1.0
4.988 0.000 0.000
0.000 4.988 0.000
0.000 0.000 4.988
Al Ga Au
1 3 1
Direct
0.000 0.000 0.000 Al
0.000 0.500 0.500 Ga
0.500 0.000 0.500 Ga
0.500 0.500 0.000 Ga
0.500 0.500 0.500 Au

---

2.
AlGa2Au2 (PBE-GGA, relaxed); space group = P4/mbm, No. 127; energy above the most stable polymorph in this dataset = 0.365 eV/f.u.; density = 9.9 g/cm3
1.0
8.255 0.000 0.000
0.000 8.255 0.000
0.000 0.000 2.771
Al Ga Au
2 4 4
Direct
0.000 0.000 0.000 Al
0.500 0.500 0.000 Al
0.129 0.371 0.000 Ga
0.371 0.871 0.000 Ga
0.629 0.129 0.000 Ga
0.871 0.629 0.000 Ga
0.169 0.669 0.500 Au
0.331 0.169 0.500 Au
0.669 0.831 0.500 Au
0.831 0.331 0.500 Au

---

3.
AlGaAu3 (PBE-GGA, relaxed); space group = Pm-3m, No. 221; energy above the most stable polymorph in this dataset = 2.092 eV/f.u.; density = 9.6 g/cm3
1.0
4.914 0.000 0.000
0.000 4.914 0.000
0.000 0.000 4.914
Al Ga Au
1 1 3
Direct
0.000 0.000 0.000 Al
0.500 0.500 0.500 Ga
0.000 0.000 0.500 Au
0.000 0.500 0.000 Au
0.500 0.000 0.000 Au

---

4.
AlGaAu6 (PBE-GGA, relaxed); space group = P-1, No. 2; energy above the most stable polymorph in this dataset = 0.020 eV/f.u.; density = 14.3 g/cm3
1.0
5.325 0.000 0.000
1.257 5.380 0.000
1.189 1.770 5.180
Al Ga Au
1 1 6
Direct
0.000 0.000 0.000 Al
0.500 0.500 0.500 Ga
0.000 0.245 0.512 Au
0.000 0.755 0.488 Au
0.247 0.536 0.971 Au
0.492 0.005 0.752 Au
0.508 0.995 0.248 Au
0.753 0.464 0.029 Au

---

Energy of formation from the pure elements
In order: 0.331, -0.008, 0.181, -0.113
Unit: eV/atom